A plane-wave DFT calculation with PBE was carried out for a relaxed structure of PmCo2Sn7.

The structure in POSCAR format:
```
PmCo2Sn7
1.0
4.296 -6.712 0.000
4.296 6.712 0.000
0.000 0.000 4.536
Pm Co Sn
1 2 7
direct
0.000 0.000 0.000
0.319 0.681 0.500
0.681 0.319 0.500
0.061 0.341 0.500
0.249 0.751 0.000
0.341 0.061 0.500
0.500 0.500 0.500
0.659 0.939 0.500
0.751 0.249 0.000
0.939 0.659 0.500
```

## Properties
Energy relative to the elements in eV per formula unit: -0.35
Crystal system: orthorhombic
E in eV per atom: -4.73
Volume in Å³ per cell: 261.6